Entry P
BiHPd2Pt, optimized geometry, DFT PBE; SG = P4/mmm; Fermi-level density of states = 0.803 states/eV/atom
1.0
4.000 0.000 0.000
0.000 4.000 0.000
0.000 0.000 4.807
Bi H Pd Pt
1 1 2 1
Direct
0.000 0.000 0.000
0.000 0.000 0.500
0.000 0.500 0.500
0.500 0.000 0.500
0.500 0.500 0.000

***

Entry Q
BiHPd2Pt, optimized geometry, DFT PBE; SG = P4/mmm; Fermi-level density of states = 0.842 states/eV/atom
1.0
4.382 0.000 0.000
0.000 4.382 0.000
0.000 0.000 3.897
Bi H Pd Pt
1 1 2 1
Direct
0.000 0.000 0.000
0.500 0.500 0.500
0.000 0.500 0.500
0.500 0.000 0.500
0.500 0.500 0.000

***

Of them, the most stable is entry Q and the least stable is entry P.

***

Entry P
BiSbHPd2, optimized geometry, DFT PBE; SG = P4/mmm; Fermi-level density of states = 0.349 states/eV/atom
1.0
5.029 0.000 0.000
0.000 5.029 0.000
0.000 0.000 5.819
Bi Sb H Pd
1 1 1 2
Direct
0.000 0.000 0.000
0.000 0.000 0.500
0.500 0.500 0.000
0.000 0.500 0.500
0.500 0.000 0.500

***

Entry Q
BiSbHPd2, optimized geometry, DFT PBE; SG = P4/mmm; Fermi-level density of states = 0.351 states/eV/atom
1.0
5.153 0.000 0.000
0.000 5.153 0.000
0.000 0.000 3.668
Bi Sb H Pd
1 1 1 2
Direct
0.000 0.000 0.000
0.500 0.500 0.500
0.500 0.500 0.000
0.000 0.500 0.500
0.500 0.000 0.500

***

Of them, the most stable is entry Q and the least stable is entry P.

***

Entry P
PmBiH, optimized geometry, DFT PBE; SG = I4/mmm; Fermi-level density of states = 0.409 states/eV/atom
1.0
-2.274 2.274 6.969
2.274 -2.274 6.969
2.274 2.274 -6.969
Pm Bi H
2 2 2
Direct
0.170 0.170 0.000
0.830 0.830 0.000
0.000 0.500 0.500
0.500 0.000 0.500
0.250 0.750 0.500
0.750 0.250 0.500

***

Entry Q
PmBiH, optimized geometry, DFT PBE; SG = P-6m2; Fermi-level density of states = 0.321 states/eV/atom
1.0
3.917 0.000 0.000
-1.959 3.393 0.000
0.000 0.000 4.926
Pm Bi H
1 1 1
Direct
0.000 0.000 0.000
0.333 0.667 0.500
0.667 0.333 0.000

***

Entry R
PmBiH, optimized geometry, DFT PBE; SG = Imm2; Fermi-level density of states = 0.364 states/eV/atom
1.0
-1.885 4.398 4.109
1.885 -4.398 4.109
1.885 4.398 -4.109
Pm Bi H
2 2 2
Direct
0.000 0.000 0.000
0.612 0.112 0.500
0.145 0.353 0.792
0.561 0.353 0.208
0.635 0.743 0.892
0.850 0.743 0.108

***

Entry S
PmBiH, optimized geometry, DFT PBE; SG = Pnna; Fermi-level density of states = 0.441 states/eV/atom
1.0
6.766 0.000 0.000
0.000 8.096 0.000
0.000 0.000 10.207
Pm Bi H
8 8 8
Direct
0.126 0.250 0.250
0.250 0.000 0.572
0.250 0.500 0.928
0.374 0.750 0.250
0.626 0.250 0.750
0.750 0.000 0.428
0.750 0.500 0.072
0.874 0.750 0.750
0.044 0.133 0.885
0.044 0.367 0.615
0.456 0.633 0.615
0.456 0.867 0.885
0.544 0.133 0.115
0.544 0.367 0.385
0.956 0.633 0.385
0.956 0.867 0.115
0.069 0.061 0.401
0.069 0.439 0.099
0.431 0.561 0.099
0.431 0.939 0.401
0.569 0.061 0.599
0.569 0.439 0.901
0.931 0.561 0.901
0.931 0.939 0.599

***

Of them, the most stable is entry Q and the least stable is entry P.

***

Entry P
PrBiH, optimized geometry, DFT PBE; SG = P-6m2; Fermi-level density of states = 0.323 states/eV/atom
1.0
3.986 0.000 0.000
-1.993 3.452 0.000
0.000 0.000 4.979
Pr Bi H
1 1 1
Direct
0.000 0.000 0.000
0.667 0.333 0.500
0.333 0.667 0.000

***

Entry Q
PrBiH, optimized geometry, DFT PBE; SG = P-1; Fermi-level density of states = 0.316 states/eV/atom
1.0
4.187 0.000 0.000
0.007 5.613 0.000
2.090 0.532 5.945
Pr Bi H
2 2 2
Direct
0.149 0.287 0.202
0.851 0.713 0.798
0.423 0.213 0.652
0.577 0.787 0.348
0.275 0.619 0.951
0.725 0.381 0.049

***

Entry R
PrBiH, optimized geometry, DFT PBE; SG = P-3m1; Fermi-level density of states = 0.572 states/eV/atom
1.0
4.123 0.000 0.000
-2.061 3.570 0.000
0.000 0.000 9.949
Pr Bi H
2 2 2
Direct
0.333 0.667 0.352
0.667 0.333 0.648
0.333 0.667 0.897
0.667 0.333 0.103
0.333 0.667 0.589
0.667 0.333 0.411

***

Entry S
PrBiH, optimized geometry, DFT PBE; SG = I4mm; Fermi-level density of states = 0.547 states/eV/atom
1.0
-1.711 1.711 5.946
1.711 -1.711 5.946
1.711 1.711 -5.946
Pr Bi H
1 1 1
Direct
0.000 0.000 0.000
0.284 0.284 0.000
0.550 0.550 0.000

***

Of them, the most stable is entry P and the least stable is entry R.

***

Entry P
Pr2BiH, optimized geometry, DFT PBE; SG = R-3m; Fermi-level density of states = 0.367 states/eV/atom
1.0
2.148 1.240 6.781
-2.148 1.240 6.781
0.000 -2.480 6.781
Pr Bi H
2 1 1
Direct
0.236 0.236 0.236
0.764 0.764 0.764
0.000 0.000 0.000
0.500 0.500 0.500

***

Entry Q
Pr2BiH, optimized geometry, DFT PBE; SG = Cmmm; Fermi-level density of states = 0.695 states/eV/atom
1.0
2.558 -8.794 0.000
2.558 8.794 0.000
0.000 0.000 4.413
Pr Bi H
4 2 2
Direct
0.000 0.000 0.000
0.181 0.819 0.500
0.500 0.500 0.500
0.819 0.181 0.500
0.349 0.651 0.000
0.651 0.349 0.000
0.054 0.946 0.500
0.946 0.054 0.500

***

Entry R
Pr2BiH, optimized geometry, DFT PBE; SG = P2_1/c; Fermi-level density of states = 0.695 states/eV/atom
1.0
8.571 0.000 0.000
0.000 5.473 0.000
-2.260 0.000 8.481
Pr Bi H
8 4 4
Direct
0.004 0.248 0.126
0.004 0.252 0.626
0.359 0.244 0.465
0.359 0.256 0.965
0.641 0.744 0.035
0.641 0.756 0.535
0.996 0.748 0.374
0.996 0.752 0.874
0.310 0.747 0.703
0.310 0.753 0.203
0.690 0.247 0.797
0.690 0.253 0.297
0.090 0.152 0.398
0.090 0.348 0.898
0.910 0.652 0.102
0.910 0.848 0.602

***

Of them, the most stable is entry R and the least stable is entry P.

***

Entry P
BiHPt, optimized geometry, DFT PBE; SG = P2_1/m; Fermi-level density of states = 0.355 states/eV/atom
1.0
3.695 0.000 0.000
0.000 4.408 0.000
-0.009 0.000 6.399
Bi H Pt
2 2 2
Direct
0.000 0.250 0.247
0.000 0.750 0.753
0.500 0.250 0.608
0.500 0.750 0.392
0.500 0.250 0.861
0.500 0.750 0.139

***

Entry Q
BiHPt, optimized geometry, DFT PBE; SG = P-6m2; Fermi-level density of states = 0.316 states/eV/atom
1.0
3.257 0.000 0.000
-1.629 2.821 0.000
0.000 0.000 5.245
Bi H Pt
1 1 1
Direct
0.000 0.000 0.000
0.667 0.333 0.500
0.333 0.667 0.500

***

Of them, the most stable is entry P and the least stable is entry Q.

***

Entry P
BiHPt, optimized geometry, DFT PBE; SG = Fmmm; Fermi-level density of states = 0.256 states/eV/atom
1.0
0.000 2.904 6.389
2.835 0.000 6.389
2.835 2.904 0.000
Bi H Pt
2 2 2
Direct
0.165 0.165 0.835
0.835 0.835 0.165
0.328 0.672 0.328
0.672 0.328 0.672
0.387 0.387 0.613
0.613 0.613 0.387

***

Entry Q
BiHPt, optimized geometry, DFT PBE; SG = P2_12_12_1; Fermi-level density of states = 0.213 states/eV/atom
1.0
4.847 0.000 0.000
0.000 5.171 0.000
0.000 0.000 8.306
Bi H Pt
4 4 4
Direct
0.108 0.000 0.012
0.392 0.000 0.512
0.608 0.500 0.988
0.892 0.500 0.488
0.123 0.499 0.782
0.377 0.501 0.282
0.623 0.001 0.218
0.877 0.999 0.718
0.104 0.500 0.170
0.396 0.500 0.670
0.604 0.000 0.830
0.896 0.000 0.330

***

Of them, the most stable is entry P and the least stable is entry Q.

***

Entry P
Bi2HPt, optimized geometry, DFT PBE; SG = I-42d; Fermi-level density of states = 0.529 states/eV/atom
1.0
-3.426 3.426 3.526
3.426 -3.426 3.526
3.426 3.426 -3.526
Bi H Pt
4 2 2
Direct
0.077 0.125 0.452
0.375 0.923 0.048
0.673 0.625 0.548
0.875 0.327 0.952
0.000 0.000 0.000
0.750 0.250 0.500
0.250 0.750 0.500
0.500 0.500 0.000

***

Entry Q
Bi2HPt, optimized geometry, DFT PBE; SG = Fm-3m; Fermi-level density of states = 0.524 states/eV/atom
1.0
0.000 3.396 3.396
3.396 0.000 3.396
3.396 3.396 0.000
Bi H Pt
2 1 1
Direct
0.250 0.250 0.250
0.750 0.750 0.750
0.000 0.000 0.000
0.500 0.500 0.500

***

Of them, the most stable is entry Q and the least stable is entry P.